No. 1
Below is LiAg5Br8 after structural relaxation, with properties calculated at the GGA-PBE level.

Structure (CIF):
```
data_LiAg5Br8
_symmetry_space_group_name_H-M 'I -4'
_symmetry_Int_Tables_number 82
_cell_length_a 9.841
_cell_length_b 9.841
_cell_length_c 8.038
_cell_angle_alpha 90.00
_cell_angle_beta 90.00
_cell_angle_gamma 90.00
loop_
_symmetry_equiv_pos_as_xyz
'x,y,z'
'y,-x,-z'
'-x,-y,z'
'-y,x,-z'
'x+1/2,y+1/2,z+1/2'
'y+1/2,-x+1/2,-z+1/2'
'-x+1/2,-y+1/2,z+1/2'
'-y+1/2,x+1/2,-z+1/2'
loop_
_atom_site_label
_atom_site_fract_x
_atom_site_fract_y
_atom_site_fract_z
Li1 0.000 0.000 0.000
Ag1 0.000 0.500 0.750
Ag2 0.246 0.748 0.372
Br1 0.058 0.749 0.623
Br2 0.060 0.761 0.120
```

Computed properties:
The mass density is 5.1 Mg/m³. The uncorrected formation energy is -436.8 meV/atom. The value obtained for the relative energy among the computed polymorphs is 0.00 eV per formula unit.

***

No. 2
Below is Na2TlSiF8 after structural relaxation, with properties calculated at the GGA-PBE level.

Structure (CIF):
```
data_Na2TlSiF8
_symmetry_space_group_name_H-M 'P 1 2/m 1'
_symmetry_Int_Tables_number 10
_cell_length_a 4.888
_cell_length_b 7.189
_cell_length_c 4.956
_cell_angle_alpha 90.00
_cell_angle_beta 90.52
_cell_angle_gamma 90.00
loop_
_symmetry_equiv_pos_as_xyz
'x,y,z'
'-x,-y,-z'
'-x,y,-z'
'x,-y,z'
loop_
_atom_site_label
_atom_site_fract_x
_atom_site_fract_y
_atom_site_fract_z
Na1 0.000 0.228 0.000
Tl1 0.500 0.500 0.500
Si1 0.500 0.000 0.500
F1 0.178 0.500 0.179
F2 0.253 0.000 0.253
F3 0.324 0.171 0.671
```

Computed properties:
The mass density is 4.1 Mg/m³. The uncorrected formation energy is -2685.0 meV/atom.